VASP calculation (PBE) on Na6Tl12Zn after structural relaxation.

```
Na6Tl12Zn
1.0
8.161 0.438 0.524
-0.805 8.133 0.524
-0.805 -0.937 8.096
Na Tl Zn
6 12 1
Cartesian
0.839 5.145 7.679 Na
0.120 5.798 2.709 Na
1.593 0.365 6.189 Na
4.959 7.268 2.955 Na
5.713 2.487 1.465 Na
6.432 1.835 6.435 Na
6.634 6.806 6.110 Tl
3.911 1.481 4.158 Tl
2.817 0.348 1.355 Tl
0.871 3.360 4.768 Tl
-0.083 0.827 3.034 Tl
3.734 7.285 7.789 Tl
3.362 3.187 6.944 Tl
5.680 4.273 4.376 Tl
2.640 6.152 4.986 Tl
5.722 4.656 8.559 Tl
0.830 2.977 0.585 Tl
3.189 4.446 2.200 Tl
0.000 0.000 0.000 Zn
```

Properties
The value obtained for the calculated density is 8.1 g/cm³. The calculation puts the total magnetization at 0.000 μB/cell. For the formation energy, the calculation gives -48 meV/atom. The symmetry is R-3, No. 148. Its raw total energy is -38.503 eV/f.u.